No. 1
## Sr2Tl3HgPd4 (PBE-GGA)

Data for a relaxed structure of Sr2Tl3HgPd4.

Structure (CIF):
```
data_Sr2Tl3HgPd4
_cell_length_a 4.466
_cell_length_b 4.466
_cell_length_c 12.296
_cell_angle_alpha 90.00
_cell_angle_beta 90.00
_cell_angle_gamma 90.00
_symmetry_space_group_name_H-M 'P -4 m 2'
_symmetry_Int_Tables_number 115
_symmetry_space_group_name_Hall 'P -4 -2'
loop_
_atom_site_label
_atom_site_type_symbol
_atom_site_fract_x
_atom_site_fract_y
_atom_site_fract_z
_atom_site_occupancy
Sr1 Sr 0.000 0.500 0.242 1
Tl1 Tl 0.000 0.000 0.000 1
Tl2 Tl 0.000 0.500 0.632 1
Hg1 Hg 0.500 0.500 0.000 1
Pd1 Pd 0.000 0.000 0.500 1
Pd2 Pd 0.000 0.500 0.853 1
Pd3 Pd 0.500 0.500 0.500 1
```

energy of formation from the pure elements = -381 kJ/mol of formula units
raw total energy = -3.55 eV/atom
N(E_F) = 5.4 states/eV per cell

No. 2
## SrTl2HgPd2 (PBE-GGA)

Data for a relaxed structure of SrTl2HgPd2.

Structure (CIF):
```
data_SrTl2HgPd2
_cell_length_a 5.427
_cell_length_b 5.427
_cell_length_c 11.629
_cell_angle_alpha 90.00
_cell_angle_beta 90.00
_cell_angle_gamma 90.00
_symmetry_space_group_name_H-M 'I 4/m m m'
_symmetry_Int_Tables_number 139
_symmetry_space_group_name_Hall '-I 4 2'
loop_
_atom_site_label
_atom_site_type_symbol
_atom_site_fract_x
_atom_site_fract_y
_atom_site_fract_z
_atom_site_occupancy
Sr1 Sr 0.000 0.000 0.000 1
Tl1 Tl 0.000 0.500 0.250 1
Hg1 Hg 0.000 0.000 0.500 1
Pd1 Pd 0.000 0.000 0.267 1
```

energy of formation from the pure elements = -133 kJ/mol of formula units
raw total energy = -3.08 eV/atom
N(E_F) = 7.0 states/eV per cell

No. 3
## Sr3Tl2Hg4Pd2 (PBE-GGA)

Data for a relaxed structure of Sr3Tl2Hg4Pd2.

Structure (CIF):
```
data_Sr3Tl2Hg4Pd2
_cell_length_a 4.8912
_cell_length_b 4.8912
_cell_length_c 15.3896
_cell_angle_alpha 90.00
_cell_angle_beta 90.00
_cell_angle_gamma 120.00
_symmetry_space_group_name_H-M 'P -3 m 1'
_symmetry_Int_Tables_number 164
_symmetry_space_group_name_Hall '-P 3 2"'
loop_
_atom_site_label
_atom_site_type_symbol
_atom_site_fract_x
_atom_site_fract_y
_atom_site_fract_z
_atom_site_occupancy
Sr1 Sr 0.0000 0.0000 0.0000 1
Sr2 Sr 0.0000 0.0000 0.2488 1
Tl1 Tl 0.3333 0.6667 0.5623 1
Hg1 Hg 0.3333 0.6667 0.3581 1
Hg2 Hg 0.3333 0.6667 0.8761 1
Pd1 Pd 0.3333 0.6667 0.1361 1
```

energy of formation from the pure elements = -420 kJ/mol of formula units
raw total energy = -2.34 eV/atom
N(E_F) = 5.7 states/eV per cell

No. 4
## SrTlHgPd (PBE-GGA)

Data for a relaxed structure of SrTlHgPd.

Structure (CIF):
```
data_SrTlHgPd
_cell_length_a 7.429
_cell_length_b 7.429
_cell_length_c 7.429
_cell_angle_alpha 90.00
_cell_angle_beta 90.00
_cell_angle_gamma 90.00
_symmetry_space_group_name_H-M 'F -4 3 m'
_symmetry_Int_Tables_number 216
_symmetry_space_group_name_Hall 'F -4 2 3'
loop_
_atom_site_label
_atom_site_type_symbol
_atom_site_fract_x
_atom_site_fract_y
_atom_site_fract_z
_atom_site_occupancy
Sr1 Sr 0.000 0.000 0.000 1
Tl1 Tl 0.000 0.000 0.500 1
Hg1 Hg 0.250 0.250 0.750 1
Pd1 Pd 0.250 0.250 0.250 1
```

energy of formation from the pure elements = -131 kJ/mol of formula units
raw total energy = -2.72 eV/atom
N(E_F) = 7.5 states/eV per cell

No. 5
## SrY2HgPd (PBE-GGA)

Data for a relaxed structure of SrY2HgPd.

Structure (CIF):
```
data_SrY2HgPd
_cell_length_a 5.422
_cell_length_b 5.422
_cell_length_c 5.418
_cell_angle_alpha 90.00
_cell_angle_beta 90.00
_cell_angle_gamma 90.00
_symmetry_space_group_name_H-M 'P 4/m m m'
_symmetry_Int_Tables_number 123
_symmetry_space_group_name_Hall '-P 4 2'
loop_
_atom_site_label
_atom_site_type_symbol
_atom_site_fract_x
_atom_site_fract_y
_atom_site_fract_z
_atom_site_occupancy
Sr1 Sr 0.000 0.000 0.000 1
Y1 Y 0.000 0.500 0.500 1
Hg1 Hg 0.500 0.500 0.000 1
Pd1 Pd 0.500 0.500 0.500 1
```

energy of formation from the pure elements = -100 kJ/mol of formula units
raw total energy = -4.23 eV/atom
excess energy over the best structure of this formula in the dataset = 0.000 eV per atom
N(E_F) = 3.9 states/eV per cell

No. 6
## SrY2HgPd (PBE-GGA)

Data for a relaxed structure of SrY2HgPd.

Structure (CIF):
```
data_SrY2HgPd
_cell_length_a 5.804
_cell_length_b 5.804
_cell_length_c 4.986
_cell_angle_alpha 90.00
_cell_angle_beta 90.00
_cell_angle_gamma 90.00
_symmetry_space_group_name_H-M 'P 4/m m m'
_symmetry_Int_Tables_number 123
_symmetry_space_group_name_Hall '-P 4 2'
loop_
_atom_site_label
_atom_site_type_symbol
_atom_site_fract_x
_atom_site_fract_y
_atom_site_fract_z
_atom_site_occupancy
Sr1 Sr 0.000 0.000 0.000 1
Y1 Y 0.000 0.500 0.000 1
Hg1 Hg 0.500 0.500 0.500 1
Pd1 Pd 0.000 0.000 0.500 1
```

energy of formation from the pure elements = 446 kJ/mol of formula units
raw total energy = -3.10 eV/atom
excess energy over the best structure of this formula in the dataset = 1.132 eV per atom
N(E_F) = 4.3 states/eV per cell

No. 7
## Sr2Zn2HgPd5 (PBE-GGA)

Data for a relaxed structure of Sr2Zn2HgPd5.

Structure (CIF):
```
data_Sr2Zn2HgPd5
_cell_length_a 10.071
_cell_length_b 10.071
_cell_length_c 3.833
_cell_angle_alpha 90.00
_cell_angle_beta 90.00
_cell_angle_gamma 90.00
_symmetry_space_group_name_H-M 'P 4/m b m'
_symmetry_Int_Tables_number 127
_symmetry_space_group_name_Hall '-P 4 2ab'
loop_
_atom_site_label
_atom_site_type_symbol
_atom_site_fract_x
_atom_site_fract_y
_atom_site_fract_z
_atom_site_occupancy
Sr1 Sr 0.179 0.321 0.000 1
Zn1 Zn 0.119 0.619 0.000 1
Hg1 Hg 0.000 0.000 0.000 1
Pd1 Pd 0.000 0.500 0.500 1
Pd2 Pd 0.064 0.789 0.500 1
```

energy of formation from the pure elements = -498 kJ/mol of formula units
raw total energy = -3.73 eV/atom
N(E_F) = 9.8 states/eV per cell

No. 8
## SrZnHg2Pd (PBE-GGA)

Data for a relaxed structure of SrZnHg2Pd.

Structure (CIF):
```
data_SrZnHg2Pd
_cell_length_a 5.293
_cell_length_b 5.293
_cell_length_c 4.848
_cell_angle_alpha 90.00
_cell_angle_beta 90.00
_cell_angle_gamma 90.00
_symmetry_space_group_name_H-M 'P 4/m m m'
_symmetry_Int_Tables_number 123
_symmetry_space_group_name_Hall '-P 4 2'
loop_
_atom_site_label
_atom_site_type_symbol
_atom_site_fract_x
_atom_site_fract_y
_atom_site_fract_z
_atom_site_occupancy
Sr1 Sr 0.000 0.000 0.000 1
Zn1 Zn 0.500 0.500 0.000 1
Hg1 Hg 0.000 0.500 0.500 1
Pd1 Pd 0.500 0.500 0.500 1
```

energy of formation from the pure elements = -131 kJ/mol of formula units
raw total energy = -2.02 eV/atom
N(E_F) = 2.3 states/eV per cell

No. 9
## TaHg3Pd12 (PBE-GGA)

Data for a relaxed structure of TaHg3Pd12.

Structure (CIF):
```
data_TaHg3Pd12
_cell_length_a 4.008
_cell_length_b 4.008
_cell_length_c 16.346
_cell_angle_alpha 90.00
_cell_angle_beta 90.00
_cell_angle_gamma 90.00
_symmetry_space_group_name_H-M 'P 4/m m m'
_symmetry_Int_Tables_number 123
_symmetry_space_group_name_Hall '-P 4 2'
loop_
_atom_site_label
_atom_site_type_symbol
_atom_site_fract_x
_atom_site_fract_y
_atom_site_fract_z
_atom_site_occupancy
Ta1 Ta 0.000 0.000 0.000 1
Hg1 Hg 0.000 0.000 0.248 1
Hg2 Hg 0.000 0.000 0.500 1
Pd1 Pd 0.000 0.500 0.116 1
Pd2 Pd 0.000 0.500 0.373 1
Pd3 Pd 0.500 0.500 0.000 1
Pd4 Pd 0.500 0.500 0.244 1
Pd5 Pd 0.500 0.500 0.500 1
```

energy of formation from the pure elements = -360 kJ/mol of formula units
raw total energy = -4.93 eV/atom
N(E_F) = 16.7 states/eV per cell

No. 10
## TaHgPd2 (PBE-GGA)

Data for a relaxed structure of TaHgPd2.

Structure (CIF):
```
data_TaHgPd2
_cell_length_a 7.360
_cell_length_b 7.360
_cell_length_c 5.678
_cell_angle_alpha 90.00
_cell_angle_beta 90.00
_cell_angle_gamma 90.00
_symmetry_space_group_name_H-M 'I -4 2 d'
_symmetry_Int_Tables_number 122
_symmetry_space_group_name_Hall 'I -4 2bw'
loop_
_atom_site_label
_atom_site_type_symbol
_atom_site_fract_x
_atom_site_fract_y
_atom_site_fract_z
_atom_site_occupancy
Ta1 Ta 0.000 0.000 0.000 1
Hg1 Hg 0.000 0.000 0.500 1
Pd1 Pd 0.221 0.750 0.125 1
```

energy of formation from the pure elements = 99 kJ/mol of formula units
raw total energy = -5.38 eV/atom
N(E_F) = 14.0 states/eV per cell

No. 11
## Ta2HgPd9 (PBE-GGA)

Data for a relaxed structure of Ta2HgPd9.

Structure (CIF):
```
data_Ta2HgPd9
_cell_length_a 3.986
_cell_length_b 3.986
_cell_length_c 12.066
_cell_angle_alpha 90.00
_cell_angle_beta 90.00
_cell_angle_gamma 90.00
_symmetry_space_group_name_H-M 'P 4/m m m'
_symmetry_Int_Tables_number 123
_symmetry_space_group_name_Hall '-P 4 2'
loop_
_atom_site_label
_atom_site_type_symbol
_atom_site_fract_x
_atom_site_fract_y
_atom_site_fract_z
_atom_site_occupancy
Ta1 Ta 0.000 0.000 0.171 1
Hg1 Hg 0.000 0.000 0.500 1
Pd1 Pd 0.000 0.500 0.000 1
Pd2 Pd 0.000 0.500 0.321 1
Pd3 Pd 0.500 0.500 0.160 1
Pd4 Pd 0.500 0.500 0.500 1
```

energy of formation from the pure elements = -466 kJ/mol of formula units
raw total energy = -6.30 eV/atom
N(E_F) = 3.2 states/eV per cell

No. 12
## TaHgPd3 (PBE-GGA)

Data for a relaxed structure of TaHgPd3.

Structure (CIF):
```
data_TaHgPd3
_cell_length_a 4.886
_cell_length_b 4.886
_cell_length_c 4.886
_cell_angle_alpha 90.00
_cell_angle_beta 90.00
_cell_angle_gamma 90.00
_symmetry_space_group_name_H-M 'P m -3 m'
_symmetry_Int_Tables_number 221
_symmetry_space_group_name_Hall '-P 4 2 3'
loop_
_atom_site_label
_atom_site_type_symbol
_atom_site_fract_x
_atom_site_fract_y
_atom_site_fract_z
_atom_site_occupancy
Ta1 Ta 0.000 0.000 0.000 1
Hg1 Hg 0.500 0.500 0.500 1
Pd1 Pd 0.000 0.500 0.500 1
```

energy of formation from the pure elements = 728 kJ/mol of formula units
raw total energy = -4.04 eV/atom
excess energy over the best structure of this formula in the dataset = 0.681 eV per atom
N(E_F) = 9.8 states/eV per cell